(1)
## La3Pm4Hg4 (GGA-PBE)

Data for a relaxed La3Pm4Hg4 crystal.

Geometry as CIF:
```
data_La3Pm4Hg4
_chemical_formula_sum 'La6 Pm8 Hg8'
_symmetry_space_group_name_H-M 'I -4 3 m'
_symmetry_Int_Tables_number 217
_symmetry_space_group_name_Hall 'I -4 2 3'
_cell_length_a 9.241
_cell_length_b 9.241
_cell_length_c 9.241
_cell_angle_alpha 90.00
_cell_angle_beta 90.00
_cell_angle_gamma 90.00
loop_
_atom_site_label
_atom_site_fract_x
_atom_site_fract_y
_atom_site_fract_z
La1 0.000 0.000 0.500
Pm1 0.145 0.145 0.855
Hg1 0.178 0.178 0.178
```

Output
For the density of states at the Fermi level, the calculation gives 1.55 states/eV per atom. Its crystal system is cubic. As for the electronic total energy: -3.210 eV/atom. The formation energy from the elements comes out at -0.66 kcal/mol of atoms. Its calculated density is 7.6 Mg/m³.

---

(2)
## LaPmHg (GGA-PBE)

Data for a relaxed LaPmHg crystal.

Geometry as CIF:
```
data_LaPmHg
_chemical_formula_sum 'La2 Pm2 Hg2'
_symmetry_space_group_name_H-M 'I 4 m m'
_symmetry_Int_Tables_number 107
_symmetry_space_group_name_Hall 'I 4 -2'
_cell_length_a 3.819
_cell_length_b 3.819
_cell_length_c 12.910
_cell_angle_alpha 90.00
_cell_angle_beta 90.00
_cell_angle_gamma 90.00
loop_
_atom_site_label
_atom_site_fract_x
_atom_site_fract_y
_atom_site_fract_z
La1 0.000 0.000 0.000
Pm1 0.000 0.000 0.303
Hg1 0.000 0.000 0.662
```

Output
For the density of states at the Fermi level, the calculation gives 1.14 states/eV per atom. Its crystal system is tetragonal. As for the electronic total energy: -3.639 eV/atom. The energy above the lowest structure with this stoichiometry is 0.04 eV/f.u. The formation energy from the elements comes out at -7.21 kcal/mol of atoms. Its calculated density is 8.5 Mg/m³.

---

(3)
## La4Pm9Hg11 (GGA-PBE)

Data for a relaxed La4Pm9Hg11 crystal.

Geometry as CIF:
```
data_La4Pm9Hg11
_chemical_formula_sum 'La8 Pm18 Hg22'
_symmetry_space_group_name_H-M 'C m m m'
_symmetry_Int_Tables_number 65
_symmetry_space_group_name_Hall '-C 2 2'
_cell_length_a 16.175
_cell_length_b 23.029
_cell_length_c 3.668
_cell_angle_alpha 90.00
_cell_angle_beta 90.00
_cell_angle_gamma 90.00
loop_
_atom_site_label
_atom_site_fract_x
_atom_site_fract_y
_atom_site_fract_z
La1 0.157 0.085 0.000
Pm1 0.000 0.000 0.000
Pm2 0.113 0.408 0.000
Pm3 0.117 0.234 0.000
Hg1 0.000 0.136 0.500
Hg2 0.000 0.320 0.500
Hg3 0.000 0.500 0.500
Hg4 0.217 0.500 0.500
Hg5 0.229 0.321 0.500
```

Output
For the density of states at the Fermi level, the calculation gives 1.06 states/eV per atom. Its crystal system is orthorhombic. As for the electronic total energy: -3.134 eV/atom. The formation energy from the elements comes out at -9.07 kcal/mol of atoms. Its calculated density is 9.9 Mg/m³.

---

(4)
## La2Pm2Hg3 (GGA-PBE)

Data for a relaxed La2Pm2Hg3 crystal.

Geometry as CIF:
```
data_La2Pm2Hg3
_chemical_formula_sum 'La4 Pm4 Hg6'
_symmetry_space_group_name_H-M 'C 1 2/m 1'
_symmetry_Int_Tables_number 12
_cell_length_a 9.288
_cell_length_b 5.367
_cell_length_c 9.264
_cell_angle_alpha 90.00
_cell_angle_beta 109.42
_cell_angle_gamma 90.00
loop_
_symmetry_equiv_pos_as_xyz
'x,y,z'
'-x,-y,-z'
'-x,y,-z'
'x,-y,z'
'x+1/2,y+1/2,z'
'-x+1/2,-y+1/2,-z'
'-x+1/2,y+1/2,-z'
'x+1/2,-y+1/2,z'
loop_
_atom_site_label
_atom_site_fract_x
_atom_site_fract_y
_atom_site_fract_z
La1 0.128 0.000 0.386
Pm1 0.122 0.500 0.865
Hg1 0.000 0.000 0.000
Hg2 0.247 0.500 0.239
```

Output
For the density of states at the Fermi level, the calculation gives 1.37 states/eV per atom. Its crystal system is monoclinic. As for the electronic total energy: -3.231 eV/atom. The formation energy from the elements comes out at -7.77 kcal/mol of atoms. Its calculated density is 8.9 Mg/m³.

---

(5)
## LaPm2Hg8 (GGA-PBE)

Data for a relaxed LaPm2Hg8 crystal.

Geometry as CIF:
```
data_LaPm2Hg8
_chemical_formula_sum 'La2 Pm4 Hg16'
_symmetry_space_group_name_H-M 'I m m m'
_symmetry_Int_Tables_number 71
_symmetry_space_group_name_Hall '-I 2 2'
_cell_length_a 5.268
_cell_length_b 7.314
_cell_length_c 15.251
_cell_angle_alpha 90.00
_cell_angle_beta 90.00
_cell_angle_gamma 90.00
loop_
_atom_site_label
_atom_site_fract_x
_atom_site_fract_y
_atom_site_fract_z
La1 0.000 0.000 0.000
Pm1 0.000 0.000 0.313
Hg1 0.000 0.210 0.500
Hg2 0.000 0.284 0.154
Hg3 0.000 0.500 0.342
```

Output
For the density of states at the Fermi level, the calculation gives 0.56 states/eV per atom. Its crystal system is orthorhombic. As for the electronic total energy: -1.891 eV/atom. The formation energy from the elements comes out at -8.30 kcal/mol of atoms. Its calculated density is 11.5 Mg/m³.

---

(6)
## LaPmHg (GGA-PBE)

Data for a relaxed LaPmHg crystal.

Geometry as CIF:
```
data_LaPmHg
_chemical_formula_sum 'La6 Pm6 Hg6'
_symmetry_space_group_name_H-M 'R -3 m'
_symmetry_Int_Tables_number 166
_symmetry_space_group_name_Hall '-R 3 2"'
_cell_length_a 5.2063
_cell_length_b 5.2063
_cell_length_c 26.5799
_cell_angle_alpha 90.00
_cell_angle_beta 90.00
_cell_angle_gamma 120.00
loop_
_atom_site_label
_atom_site_fract_x
_atom_site_fract_y
_atom_site_fract_z
La1 0.0000 0.0000 0.1297
Pm1 0.0000 0.0000 0.3748
Hg1 0.0000 0.0000 0.2551
```

Output
For the density of states at the Fermi level, the calculation gives 1.81 states/eV per atom. Its crystal system is trigonal. As for the electronic total energy: -3.441 eV/atom. The energy above the lowest structure with this stoichiometry is 0.64 eV/f.u. The formation energy from the elements comes out at -2.64 kcal/mol of atoms. Its calculated density is 7.7 Mg/m³.

---

(7)
## LaPmHg3 (GGA-PBE)

Data for a relaxed LaPmHg3 crystal.

Geometry as CIF:
```
data_LaPmHg3
_chemical_formula_sum 'La4 Pm4 Hg12'
_symmetry_space_group_name_H-M 'C m c m'
_symmetry_Int_Tables_number 63
_symmetry_space_group_name_Hall '-C 2c 2'
_cell_length_a 3.632
_cell_length_b 29.930
_cell_length_c 5.060
_cell_angle_alpha 90.00
_cell_angle_beta 90.00
_cell_angle_gamma 90.00
loop_
_atom_site_label
_atom_site_fract_x
_atom_site_fract_y
_atom_site_fract_z
La1 0.000 0.075 0.250
Pm1 0.000 0.210 0.750
Hg1 0.000 0.320 0.750
Hg2 0.000 0.378 0.250
Hg3 0.000 0.476 0.250
```

Output
For the density of states at the Fermi level, the calculation gives 0.88 states/eV per atom. Its crystal system is orthorhombic. As for the electronic total energy: -2.576 eV/atom. The formation energy from the elements comes out at -10.59 kcal/mol of atoms. Its calculated density is 10.7 Mg/m³.

---

(8)
## La8PmHg2 (GGA-PBE)

Data for a relaxed La8PmHg2 crystal.

Geometry as CIF:
```
data_La8PmHg2
_chemical_formula_sum 'La16 Pm2 Hg4'
_symmetry_space_group_name_H-M 'C 1 2/m 1'
_symmetry_Int_Tables_number 12
_cell_length_a 9.061
_cell_length_b 15.235
_cell_length_c 5.940
_cell_angle_alpha 90.00
_cell_angle_beta 110.63
_cell_angle_gamma 90.00
loop_
_symmetry_equiv_pos_as_xyz
'x,y,z'
'-x,-y,-z'
'-x,y,-z'
'x,-y,z'
'x+1/2,y+1/2,z'
'-x+1/2,-y+1/2,-z'
'-x+1/2,y+1/2,-z'
'x+1/2,-y+1/2,z'
loop_
_atom_site_label
_atom_site_fract_x
_atom_site_fract_y
_atom_site_fract_z
La1 0.000 0.228 0.000
La2 0.103 0.500 0.806
La3 0.196 0.110 0.595
Pm1 0.000 0.000 0.000
Hg1 0.000 0.307 0.500
```

Output
For the density of states at the Fermi level, the calculation gives 1.29 states/eV per atom. Its crystal system is monoclinic. As for the electronic total energy: -4.168 eV/atom. The energy above the lowest structure with this stoichiometry is 0.57 eV/f.u. The formation energy from the elements comes out at -2.25 kcal/mol of atoms. Its calculated density is 7.2 Mg/m³.

---

(9)
## La8PmHg2 (GGA-PBE)

Data for a relaxed La8PmHg2 crystal.

Geometry as CIF:
```
data_La8PmHg2
_chemical_formula_sum 'La16 Pm2 Hg4'
_symmetry_space_group_name_H-M 'C 1 2/m 1'
_symmetry_Int_Tables_number 12
_cell_length_a 17.288
_cell_length_b 5.520
_cell_length_c 8.629
_cell_angle_alpha 90.00
_cell_angle_beta 114.62
_cell_angle_gamma 90.00
loop_
_symmetry_equiv_pos_as_xyz
'x,y,z'
'-x,-y,-z'
'-x,y,-z'
'x,-y,z'
'x+1/2,y+1/2,z'
'-x+1/2,-y+1/2,-z'
'-x+1/2,y+1/2,-z'
'x+1/2,-y+1/2,z'
loop_
_atom_site_label
_atom_site_fract_x
_atom_site_fract_y
_atom_site_fract_z
La1 0.049 0.000 0.242
La2 0.105 0.500 0.968
La3 0.151 0.000 0.708
La4 0.190 0.500 0.460
Pm1 0.000 0.500 0.500
Hg1 0.215 0.000 0.132
```

Output
For the density of states at the Fermi level, the calculation gives 1.46 states/eV per atom. Its crystal system is monoclinic. As for the electronic total energy: -4.219 eV/atom. The energy above the lowest structure with this stoichiometry is 0.00 eV/f.u. The formation energy from the elements comes out at -3.43 kcal/mol of atoms. Its calculated density is 7.4 Mg/m³.

---

(10)
## LaPm3Hg2 (GGA-PBE)

Data for a relaxed LaPm3Hg2 crystal.

Geometry as CIF:
```
data_LaPm3Hg2
_chemical_formula_sum 'La2 Pm6 Hg4'
_symmetry_space_group_name_H-M 'P m c 21'
_symmetry_Int_Tables_number 26
_cell_length_a 5.252
_cell_length_b 9.636
_cell_length_c 7.293
_cell_angle_alpha 90.00
_cell_angle_beta 90.00
_cell_angle_gamma 90.00
loop_
_symmetry_equiv_pos_as_xyz
'x,y,z'
'-x,-y,z+1/2'
'-x,y,z'
'x,-y,z+1/2'
loop_
_atom_site_label
_atom_site_fract_x
_atom_site_fract_y
_atom_site_fract_z
La1 0.000 0.058 0.000
Pm1 0.000 0.330 0.657
Pm2 0.500 0.176 0.320
Pm3 0.500 0.443 0.974
Hg1 0.000 0.353 0.226
Hg2 0.500 0.150 0.748
```

Output
For the density of states at the Fermi level, the calculation gives 0.71 states/eV per atom. Its crystal system is orthorhombic. As for the electronic total energy: -3.626 eV/atom. The energy above the lowest structure with this stoichiometry is 0.00 eV/f.u. The formation energy from the elements comes out at -7.59 kcal/mol of atoms. Its calculated density is 8.8 Mg/m³.

---

(11)
## La4PmHg3 (GGA-PBE)

Data for a relaxed La4PmHg3 crystal.

Geometry as CIF:
```
data_La4PmHg3
_chemical_formula_sum 'La4 Pm1 Hg3'
_symmetry_space_group_name_H-M 'P m m m'
_symmetry_Int_Tables_number 47
_cell_length_a 3.798
_cell_length_b 5.658
_cell_length_c 11.525
_cell_angle_alpha 90.00
_cell_angle_beta 90.00
_cell_angle_gamma 90.00
loop_
_symmetry_equiv_pos_as_xyz
'x,y,z'
'-x,-y,-z'
'-x,-y,z'
'x,y,-z'
'x,-y,-z'
'-x,y,z'
'-x,y,-z'
'x,-y,z'
loop_
_atom_site_label
_atom_site_fract_x
_atom_site_fract_y
_atom_site_fract_z
La1 0.000 0.000 0.000
La2 0.000 0.000 0.500
La3 0.000 0.500 0.235
Pm1 0.500 0.500 0.500
Hg1 0.500 0.000 0.259
Hg2 0.500 0.500 0.000
```

Output
For the density of states at the Fermi level, the calculation gives 1.49 states/eV per atom. Its crystal system is orthorhombic. As for the electronic total energy: -3.500 eV/atom. The formation energy from the elements comes out at -7.60 kcal/mol of atoms. Its calculated density is 8.7 Mg/m³.

---

(12)
## LaPm2Hg7 (GGA-PBE)

Data for a relaxed LaPm2Hg7 crystal.

Geometry as CIF:
```
data_LaPm2Hg7
_chemical_formula_sum 'La1 Pm2 Hg7'
_symmetry_space_group_name_H-M 'P 3 m 1'
_symmetry_Int_Tables_number 156
_cell_length_a 5.1102
_cell_length_b 5.1102
_cell_length_c 12.2540
_cell_angle_alpha 90.00
_cell_angle_beta 90.00
_cell_angle_gamma 120.00
loop_
_symmetry_equiv_pos_as_xyz
'x,y,z'
'-y,x-y,z'
'-x+y,-x,z'
'-y,-x,z'
'-x+y,y,z'
'x,x-y,z'
loop_
_atom_site_label
_atom_site_fract_x
_atom_site_fract_y
_atom_site_fract_z
La1 0.0000 0.0000 0.0000
Pm1 0.3333 0.6667 0.6782
Pm2 0.6667 0.3333 0.3653
Hg1 0.0000 0.0000 0.2750
Hg2 0.0000 0.0000 0.5511
Hg3 0.3333 0.6667 0.1790
Hg4 0.3333 0.6667 0.4338
Hg5 0.3333 0.6667 0.9217
Hg6 0.6667 0.3333 0.0983
Hg7 0.6667 0.3333 0.8109
```

Output
For the density of states at the Fermi level, the calculation gives 0.42 states/eV per atom. Its crystal system is trigonal. As for the electronic total energy: -1.996 eV/atom. The formation energy from the elements comes out at -7.89 kcal/mol of atoms. Its calculated density is 11.0 Mg/m³.